Record 1
DFT (PBE) results for TbIrPdPb after structural relaxation.

The value obtained for the density is 13.8 g cm⁻³. The calculation puts the calculated total energy at -96.9 eV for the cell shown.

CIF file:
```
data_TbIrPdPb
_chemical_formula_sum 'Tb4 Ir4 Pd4 Pb4'
_cell_length_a 6.8466
_cell_length_b 6.8466
_cell_length_c 6.8466
_cell_angle_alpha 90.00
_cell_angle_beta 90.00
_cell_angle_gamma 90.00
_symmetry_space_group_name_H-M 'F -4 3 m'
_symmetry_Int_Tables_number 216
_symmetry_space_group_name_Hall 'F -4 2 3'
loop_
_atom_site_label
_atom_site_type_symbol
_atom_site_fract_x
_atom_site_fract_y
_atom_site_fract_z
_atom_site_occupancy
Tb1 Tb 0.0000 0.0000 0.0000 1
Ir1 Ir 0.2500 0.2500 0.7500 1
Pd1 Pd 0.2500 0.2500 0.2500 1
Pb1 Pb 0.0000 0.0000 0.5000 1
```

Record 2
DFT (PBE) results for TmIrPdPb after structural relaxation.

The value obtained for the density is 14.4 g cm⁻³. The calculation puts the calculated total energy at -96.8 eV for the cell shown.

CIF file:
```
data_TmIrPdPb
_chemical_formula_sum 'Tm4 Ir4 Pd4 Pb4'
_cell_length_a 6.7841
_cell_length_b 6.7841
_cell_length_c 6.7841
_cell_angle_alpha 90.00
_cell_angle_beta 90.00
_cell_angle_gamma 90.00
_symmetry_space_group_name_H-M 'F -4 3 m'
_symmetry_Int_Tables_number 216
_symmetry_space_group_name_Hall 'F -4 2 3'
loop_
_atom_site_label
_atom_site_type_symbol
_atom_site_fract_x
_atom_site_fract_y
_atom_site_fract_z
_atom_site_occupancy
Tm1 Tm 0.0000 0.0000 0.0000 1
Ir1 Ir 0.2500 0.2500 0.7500 1
Pd1 Pd 0.2500 0.2500 0.2500 1
Pb1 Pb 0.0000 0.0000 0.5000 1
```

Record 3
DFT (PBE) results for Pm8IrPb3 after structural relaxation.

The value obtained for the density is 8.1 g cm⁻³. The calculation puts the calculated total energy at -123.7 eV for the cell shown.

CIF file:
```
data_Pm8IrPb3
_chemical_formula_sum 'Pm16 Ir2 Pb6'
_cell_length_a 7.3998
_cell_length_b 7.3998
_cell_length_c 14.8632
_cell_angle_alpha 90.00
_cell_angle_beta 90.00
_cell_angle_gamma 90.00
_symmetry_space_group_name_H-M 'I 4/m m m'
_symmetry_Int_Tables_number 139
_symmetry_space_group_name_Hall '-I 4 2'
loop_
_atom_site_label
_atom_site_type_symbol
_atom_site_fract_x
_atom_site_fract_y
_atom_site_fract_z
_atom_site_occupancy
Pm1 Pm 0.2351 0.2351 0.1168 1
Ir1 Ir 0.0000 0.0000 0.0000 1
Pb1 Pb 0.0000 0.0000 0.5000 1
Pb2 Pb 0.0000 0.5000 0.2500 1
```

Record 4
DFT (PBE) results for PmIr2Pb after structural relaxation.

The value obtained for the density is 15.1 g cm⁻³. The calculation puts the calculated total energy at -26.9 eV for the cell shown.

CIF file:
```
data_PmIr2Pb
_chemical_formula_sum 'Pm1 Ir2 Pb1'
_cell_length_a 4.5466
_cell_length_b 4.5466
_cell_length_c 3.9181
_cell_angle_alpha 90.00
_cell_angle_beta 90.00
_cell_angle_gamma 90.00
_symmetry_space_group_name_H-M 'P 4/m m m'
_symmetry_Int_Tables_number 123
_symmetry_space_group_name_Hall '-P 4 2'
loop_
_atom_site_label
_atom_site_type_symbol
_atom_site_fract_x
_atom_site_fract_y
_atom_site_fract_z
_atom_site_occupancy
Pm1 Pm 0.0000 0.0000 0.0000 1
Ir1 Ir 0.0000 0.5000 0.5000 1
Pb1 Pb 0.5000 0.5000 0.0000 1
```